DFT (GGA-PBE) results for a geometry-optimized Hf2Ga2S7 structure.

Cell: 8.1582 10.5176 6.3305 Å, 90.00 104.22 90.00°
Last column: nearest neighbours and their distance in Å.
Space group C2/m (No. 12)
One atom of each set of equivalent atoms:
Hf 0.0000 0.1829 0.0000  6 S 2.50-2.64
Ga 0.2299 0.5000 0.3857  4 S 2.17-2.39
S 0.0000 0.5000 0.5000  2 Ga 2.17
S 0.0856 0.0000 0.2561  1 Ga 2.39, 2 Hf 2.50
S 0.2463 0.1843 0.7962  1 Ga 2.29

Properties
M_tot = 0.001 μB/f.u.
Energy relative to the elements, uncorrected = -933 meV/atom

DFT (GGA-PBE) results for a geometry-optimized HfGaS3 structure.

Cell: 4.5852 4.5852 4.5852 Å, 90.00 90.00 90.00°
Last column: nearest neighbours and their distance in Å.
Space group Pm-3m (No. 221)
One atom of each set of equivalent atoms:
Hf 0.0000 0.0000 0.0000  12 S 3.24
Ga 0.5000 0.5000 0.5000  6 S 2.29
S 0.0000 0.5000 0.5000  2 Ga 2.29

Properties
M_tot = 0.000 μB/f.u.
Density of states at the Fermi level = 2.43 states/eV/f.u.
Relative energy among the computed polymorphs = 4.58 eV per formula unit
Energy relative to the elements, uncorrected = -3 meV/atom

DFT (GGA-PBE) results for a geometry-optimized HfGa2SeS structure.

Cell: 4.9617 4.9617 4.7094 Å, 90.00 90.00 90.00°
Last column: nearest neighbours and their distance in Å.
Space group P4/mmm (No. 123)
One atom of each set of equivalent atoms:
Hf 0.0000 0.0000 0.0000  8 Ga 3.42, 4 S 3.51
Ga 0.0000 0.5000 0.5000  2 Se 2.48
Se 0.5000 0.5000 0.5000  2 S 2.35, 4 Ga 2.48
S 0.5000 0.5000 0.0000  2 Se 2.35

Properties
M_tot = 0.000 μB/f.u.
Density of states at the Fermi level = 5.40 states/eV/f.u.
Energy relative to the elements, uncorrected = 710 meV/atom

DFT (GGA-PBE) results for a geometry-optimized HfGa2SnS structure.

Cell: 5.0673 5.0673 5.5422 Å, 90.00 90.00 90.00°
Last column: nearest neighbours and their distance in Å.
Space group P4/mmm (No. 123)
One atom of each set of equivalent atoms:
Hf 0.0000 0.0000 0.0000  2 Sn 2.77
Ga 0.0000 0.5000 0.5000  2 Sn 2.53
Sn 0.0000 0.0000 0.5000  4 Ga 2.53, 2 Hf 2.77
S 0.5000 0.5000 0.0000  4 Hf 3.58, 8 Ga 3.75

Properties
M_tot = 0.000 μB/f.u.
Density of states at the Fermi level = 2.90 states/eV/f.u.
Energy relative to the elements, uncorrected = 858 meV/atom

DFT (GGA-PBE) results for a geometry-optimized HfTlGaS2 structure.

Cell: 5.0853 5.0853 5.6296 Å, 90.00 90.00 90.00°
Last column: nearest neighbours and their distance in Å.
Space group P4/mmm (No. 123)
One atom of each set of equivalent atoms:
Hf 0.0000 0.0000 0.0000  2 Tl 2.81
Tl 0.0000 0.0000 0.5000  4 S 2.54, 2 Hf 2.81
Ga 0.5000 0.5000 0.0000  4 Hf 3.60, 8 S 3.79
S 0.0000 0.5000 0.5000  2 Tl 2.54

Properties
M_tot = 0.378 μB/f.u.
Density of states at the Fermi level = 5.42 states/eV/f.u.
Energy relative to the elements, uncorrected = 1041 meV/atom

DFT (GGA-PBE) results for a geometry-optimized HfTl2GaS5 structure.

Cell: 3.7285 18.0553 13.1197 Å, 90.00 90.00 90.00°
Last column: nearest neighbours and their distance in Å.
Space group Cmc2_1 (No. 36)
One atom of each set of equivalent atoms:
Hf 0.0000 0.2029 0.0000  5 S 2.45-2.61
Tl 0.0000 0.1164 0.6405  5 S 3.09-3.29
Tl 0.0000 0.1240 0.2999  4 S 2.86-2.94
Ga 0.0000 0.4438 0.4013  4 S 2.24-2.33
S 0.0000 0.0497 0.0074  2 Ga 2.33
S 0.0000 0.2946 0.6301  2 Hf 2.53
S 0.0000 0.3175 0.3634  1 Ga 2.33, 2 Hf 2.61
S 0.0000 0.3360 0.9642  1 Hf 2.45
S 0.0000 0.4916 0.7554  1 Ga 2.24

Properties
M_tot = 0.000 μB/f.u.
Density of states at the Fermi level = 2.17 states/eV/f.u.
Energy relative to the elements, uncorrected = -802 meV/atom

DFT (GGA-PBE) results for a geometry-optimized HfGaW2S structure.

Cell: 4.8953 4.8953 5.0491 Å, 90.00 90.00 90.00°
Last column: nearest neighbours and their distance in Å.
Space group P4/mmm (No. 123)
One atom of each set of equivalent atoms:
Hf 0.0000 0.0000 0.0000  4 W 2.45, 2 Ga 2.52
Ga 0.0000 0.0000 0.5000  2 Hf 2.52
W 0.0000 0.5000 0.0000  2 Hf 2.45
S 0.5000 0.5000 0.5000  4 Ga 3.46, 8 W 3.52

Properties
M_tot = 1.822 μB/f.u.
Density of states at the Fermi level = 6.85 states/eV/f.u.
Energy relative to the elements, uncorrected = 2219 meV/atom

DFT (GGA-PBE) results for a geometry-optimized HfZrGaS2 structure.

Cell: 4.8904 4.8904 5.5317 Å, 90.00 90.00 90.00°
Last column: nearest neighbours and their distance in Å.
Space group P4/mmm (No. 123)
One atom of each set of equivalent atoms:
Hf 0.0000 0.0000 0.0000  2 Zr 2.77
Zr 0.0000 0.0000 0.5000  4 S 2.45
Ga 0.5000 0.5000 0.0000  4 Hf 3.46, 8 S 3.69
S 0.0000 0.5000 0.5000  2 Zr 2.45

Properties
M_tot = 0.439 μB/f.u.
Density of states at the Fermi level = 5.52 states/eV/f.u.
Energy relative to the elements, uncorrected = 184 meV/atom

M_tot of number 8 (HfZrGaS2)? 0.439 μB/f.u.

Copy entry 7 word for word.
DFT (GGA-PBE) results for a geometry-optimized HfGaW2S structure.

Cell: 4.8953 4.8953 5.0491 Å, 90.00 90.00 90.00°
Last column: nearest neighbours and their distance in Å.
Space group P4/mmm (No. 123)
One atom of each set of equivalent atoms:
Hf 0.0000 0.0000 0.0000  4 W 2.45, 2 Ga 2.52
Ga 0.0000 0.0000 0.5000  2 Hf 2.52
W 0.0000 0.5000 0.0000  2 Hf 2.45
S 0.5000 0.5000 0.5000  4 Ga 3.46, 8 W 3.52

Properties
M_tot = 1.822 μB/f.u.
Density of states at the Fermi level = 6.85 states/eV/f.u.
Energy relative to the elements, uncorrected = 2219 meV/atom

Which value of energy relative to the elements, uncorrected does entry 5 give? 1041 meV/atom